[1]
# Tl6Te2SeBr | the Alexandria database | GGA-PBE | optimized geometry
# Formation energy without anion corrections: -341 meV per atom
# Total magnetization: 0.00 μB/cell
data_Tl6Te2SeBr
_cell_length_a 7.722
_cell_length_b 7.723
_cell_length_c 8.481
_cell_angle_alpha 63.08
_cell_angle_beta 63.03
_cell_angle_gamma 60.12
_symmetry_space_group_name_H-M 'P 1'
_symmetry_Int_Tables_number 1
_symmetry_space_group_name_Hall 'P 1'
loop_
_atom_site_label
_atom_site_fract_x
_atom_site_fract_y
_atom_site_fract_z
Tl1 0.000 0.000 0.000
Tl2 0.012 0.215 0.414
Tl3 0.179 0.592 0.412
Tl4 0.419 0.402 0.000
Tl5 0.635 0.760 0.414
Tl6 0.821 0.580 0.000
Te1 0.189 0.769 0.673
Te2 0.629 0.210 0.352
Se1 0.837 0.417 0.729
Br1 0.405 0.984 0.027

***

[2]
# UFe2BC | the Alexandria database | GGA-PBE | optimized geometry
# Energy relative to the elements: -206 meV/atom
# Total magnetization: 14.29 μB/cell
data_UFe2BC
_cell_length_a 3.269
_cell_length_b 10.463
_cell_length_c 6.768
_cell_angle_alpha 90.00
_cell_angle_beta 90.00
_cell_angle_gamma 90.00
_symmetry_space_group_name_H-M 'C m c m'
_symmetry_Int_Tables_number 63
_symmetry_space_group_name_Hall '-C 2c 2'
loop_
_atom_site_label
_atom_site_fract_x
_atom_site_fract_y
_atom_site_fract_z
U1 0.000 0.044 0.250
Fe1 0.000 0.321 0.064
B1 0.000 0.237 0.750
C1 0.000 0.500 0.000

***

[3]
# ZrReP | the Alexandria database | GGA-PBE | optimized geometry
# Energy relative to the elements: -689 meV/atom
# Total magnetization: 0.00 μB/cell
data_ZrReP
_cell_length_a 13.675
_cell_length_b 3.892
_cell_length_c 3.881
_cell_angle_alpha 90.00
_cell_angle_beta 106.43
_cell_angle_gamma 90.00
_symmetry_space_group_name_H-M 'C 1 2/m 1'
_symmetry_Int_Tables_number 12
_symmetry_space_group_name_Hall '-C 2y'
loop_
_atom_site_label
_atom_site_fract_x
_atom_site_fract_y
_atom_site_fract_z
Zr1 0.167 0.000 0.168
Re1 0.000 0.000 0.500
Re2 0.000 0.500 0.000
P1 0.124 0.500 0.624